Run P
# PrTcPO

Crystalline PrTcPO at its relaxed geometry (PBE, OQMD).

Cell and atoms, written as POSCAR:
```
PrTcPO
1.0
-0.346 3.631 -1.821
-3.198 0.883 2.369
5.160 3.358 5.713
O Tc Pr P
2 2 2 2
direct
0.500 0.500 0.000
0.000 0.000 0.000
0.000 0.000 0.500
0.500 0.500 0.500
0.500 0.000 0.858
0.000 0.500 0.142
0.500 0.000 0.358
0.000 0.500 0.642
```

Output
SG: P4/nmm, No. 129

***

Run Q
# PrTcPO

Crystalline PrTcPO at its relaxed geometry (PBE, OQMD).

Cell and atoms, written as POSCAR:
```
PrTcPO
1.0
3.006 -3.006 0.000
3.006 3.006 0.000
0.000 0.000 9.004
Pr Tc O P
2 2 2 2
direct
0.250 0.750 0.500
0.750 0.250 0.500
0.250 0.250 0.965
0.750 0.750 0.035
0.250 0.750 0.000
0.750 0.250 0.000
0.750 0.750 0.279
0.250 0.250 0.721
```

Output
SG: P4/nmm, No. 129

***

Stability ranking, top entry: run P; the second entry is 1667 meV per atom less favorable.